The following is a PBE-GGA calculation of Tb3Pm4Nd4 after structural relaxation, from the Alexandria database.

The structure in extended XYZ format:
```
11
Lattice="-0.243 -3.216 1.543 5.711 -0.135 0.617 1.135 6.254 17.364" Properties=species:S:1:pos:R:3 pbc="T T T"
Nd 1.592 1.789 12.269
Nd 2.578 -0.946 2.575
Nd 5.011 1.114 7.254
Nd 4.025 3.849 16.949
Tb 4.428 4.025 13.235
Tb 2.175 -1.122 6.288
Tb 0.000 0.000 0.000
Pm 4.614 0.887 10.861
Pm 5.293 -0.307 4.336
Pm 1.310 3.210 15.187
Pm 1.989 2.016 8.662
```

Properties
Density of states at the Fermi level (states/eV/cell): 17.34
Size of the total moment (μB/f.u.): 0.0
Formation energy from the elements (kJ per mole of atoms): 5.0
Energy above the most stable polymorph in this dataset (kJ/mol of atoms): 0.0
Total energy (eV/atom): -4.67
Symmetry: P-1, No. 2